# Rb2MgCuP2

A relaxed structure of Rb2MgCuP2 (PBE-GGA, Alexandria via LeMat-Bulk).

Unit cell a=6.107 b=16.490 c=6.208 alpha=90.00 beta=90.00 gamma=90.00
Space group Ibam (No. 72)
Asymmetric unit:
Rb  0.247  0.170  0.000 [8 per cell]
Mg  0.000  0.500  0.250 [4 per cell]
Cu  0.000  0.000  0.250 [4 per cell]
P  0.229  0.078  0.500 [8 per cell]

calculated total energy: -3.4028 eV/atom
Fermi-level density of states: 4.73 states/eV/f.u.
density: 3.4 g/cm³

# TcAg2Ir

A relaxed structure of TcAg2Ir (PBE-GGA, Alexandria via LeMat-Bulk).

Unit cell a=3.820 b=3.820 c=8.920 alpha=90.00 beta=90.00 gamma=90.00
Space group I4/mmm (No. 139)
Asymmetric unit:
Tc  0.000  0.000  0.000 [2 per cell]
Ag  0.000  0.500  0.250 [4 per cell]
Ir  0.000  0.000  0.500 [2 per cell]

calculated total energy: -5.6394 eV/atom
Fermi-level density of states: 4.46 states/eV/f.u.
energy relative to the lowest polymorph listed for this composition: 0.4255 eV/atom
density: 12.9 g/cm³

# ReTc2NiI

A relaxed structure of ReTc2NiI (PBE-GGA, Alexandria via LeMat-Bulk).

Unit cell a=4.726 b=4.726 c=5.388 alpha=90.00 beta=90.00 gamma=90.00
Space group P4/mmm (No. 123)
Asymmetric unit:
Re  0.000  0.000  0.000 [1 per cell]
Tc  0.000  0.500  0.000 [2 per cell]
Ni  0.500  0.500  0.500 [1 per cell]
I  0.000  0.000  0.500 [1 per cell]

calculated total energy: -6.0738 eV/atom
E_form (uncorrected): 979 kJ/mol of formula units
Fermi-level density of states: 6.90 states/eV/f.u.
density: 7.8 g/cm³

# AcPrNdDy3

A relaxed structure of AcPrNdDy3 (PBE-GGA, Alexandria via LeMat-Bulk).

Unit cell a=20.492 b=5.743 c=7.260 alpha=90.00 beta=90.19 gamma=90.00
Space group C2/m (No. 12)
Asymmetric unit:
Ac  0.147  0.000  0.036 [4 per cell]
Pr  0.055  0.500  0.276 [4 per cell]
Nd  0.149  0.000  0.476 [4 per cell]
Dy  0.021  0.000  0.736 [4 per cell]
Dy  0.167  0.500  0.739 [4 per cell]
Dy  0.220  0.500  0.257 [4 per cell]

calculated total energy: -4.3596 eV/atom
Fermi-level density of states: 8.80 states/eV/f.u.
density: 7.8 g/cm³

# MnNb2Te

A relaxed structure of MnNb2Te (PBE-GGA, Alexandria via LeMat-Bulk).

Unit cell a=5.458 b=5.458 c=13.194 alpha=90.00 beta=90.00 gamma=90.00
Space group I-42d (No. 122)
Asymmetric unit:
Mn  0.000  0.000  0.000 [4 per cell]
Nb  0.166  0.250  0.125 [8 per cell]
Te  0.000  0.000  0.500 [4 per cell]

calculated total energy: -7.2085 eV/atom
E_form (uncorrected): 349 kJ/mol of formula units
Fermi-level density of states: 3.47 states/eV/f.u.
density: 6.2 g/cm³

# Ta3Rh5

A relaxed structure of Ta3Rh5 (PBE-GGA, Alexandria via LeMat-Bulk).

Unit cell a=6.619 b=5.131 c=8.397 alpha=90.00 beta=113.14 gamma=90.00
Space group P2_1/m (No. 11)
Asymmetric unit:
Ta  0.027  0.250  0.419 [2 per cell]
Ta  0.385  0.250  0.000 [2 per cell]
Ta  0.392  0.750  0.419 [2 per cell]
Rh  0.008  0.250  0.753 [2 per cell]
Rh  0.217  0.750  0.000 [2 per cell]
Rh  0.255  0.250  0.247 [2 per cell]
Rh  0.355  0.000  0.711 [4 per cell]

calculated total energy: -9.3359 eV/atom
Fermi-level density of states: 5.71 states/eV/f.u.
density: 13.4 g/cm³

# ScAlCd

A relaxed structure of ScAlCd (PBE-GGA, Alexandria via LeMat-Bulk).

Unit cell a=4.209 b=4.333 c=13.263 alpha=90.00 beta=90.00 gamma=90.00
Space group Amm2 (No. 38)
Asymmetric unit:
Sc  0.000  0.000  0.000 [2 per cell]
Sc  0.000  0.000  0.319 [2 per cell]
Al  0.500  0.000  0.163 [2 per cell]
Al  0.500  0.000  0.826 [2 per cell]
Cd  0.000  0.000  0.661 [2 per cell]
Cd  0.500  0.000  0.490 [2 per cell]

calculated total energy: -3.9481 eV/atom
Fermi-level density of states: 1.88 states/eV/f.u.
density: 5.1 g/cm³

# RbHfAg2S4

A relaxed structure of RbHfAg2S4 (PBE-GGA, Alexandria via LeMat-Bulk).

Unit cell a=6.609 b=7.290 c=8.566 alpha=90.00 beta=90.00 gamma=90.00
Space group I222 (No. 23)
Asymmetric unit:
Rb  0.000  0.000  0.000 [2 per cell]
Hf  0.000  0.000  0.500 [2 per cell]
Ag  0.000  0.500  0.177 [4 per cell]
S  0.200  0.196  0.335 [8 per cell]

calculated total energy: -4.9109 eV/atom
E_form (uncorrected): -594 kJ/mol of formula units
Fermi-level density of states: 3.19 states/eV/f.u.
density: 4.9 g/cm³

# CoRu

A relaxed structure of CoRu (PBE-GGA, Alexandria via LeMat-Bulk).

Unit cell a=2.6500 b=2.6500 c=4.0898 alpha=90.00 beta=90.00 gamma=120.00
Space group P-6m2 (No. 187)
Asymmetric unit:
Co  0.0000  0.0000  0.0000 [1 per cell]
Ru  0.3333  0.6667  0.5000 [1 per cell]

calculated total energy: -8.0410 eV/atom
Fermi-level density of states: 2.17 states/eV/f.u.
density: 10.7 g/cm³

# Ni3Mo

A relaxed structure of Ni3Mo (PBE-GGA, Alexandria via LeMat-Bulk).

Unit cell a=3.647 b=3.647 c=3.647 alpha=90.00 beta=90.00 gamma=90.00
Space group Pm-3m (No. 221)
Asymmetric unit:
Ni  0.000  0.000  0.500 [3 per cell]
Mo  0.500  0.500  0.500 [1 per cell]

calculated total energy: -6.9597 eV/atom
Fermi-level density of states: 4.05 states/eV/f.u.
density: 9.3 g/cm³